The following is a DFT calculation (GGA-PBE) of a geometry-optimized Na4Ag structure.

Cell: 6.5893 6.5893 8.7885 Å, 112.02 112.02 90.00°
Fractional positions:
Na (0.0298, 0.9341, 0.3421)
Na (0.1580, 0.2798, 0.8421)
Na (0.7202, 0.3159, 0.1579)
Na (0.0659, 0.6877, 0.6579)
Na (0.6841, 0.5623, 0.8421)
Na (0.4377, 0.8420, 0.1579)
Na (0.5920, 0.9702, 0.6579)
Na (0.3123, 0.4080, 0.3421)
Ag (0.7500, 0.2500, 0.5000)
Ag (0.0000, 0.0000, 0.0000)

- Fermi-level density of states (states/eV/f.u.) = 2.170
- VASP energy (eV per cell) = -16.1
- formation energy from the elements (meV per atom) = 19.5
- space-group type = I4_1/a, No. 88
- polymorph energy (0 for the lowest one) (meV per atom) = 32